An optimized crystal structure of NaSn3F. Source: Alexandria via LeMat-Bulk, functional PBE.

```
NaSn3F
1.0
5.051 0.000 0.000
0.000 5.051 0.000
0.000 0.000 5.051
Na Sn F
1 3 1
Direct
0.000 0.000 0.000
0.000 0.500 0.500
0.500 0.000 0.500
0.500 0.500 0.000
0.500 0.500 0.500
```

Output
Its symmetry is Pm-3m. Its density is 5.1 Mg/m³. The value obtained for the energy relative to the lowest polymorph listed for this composition is 0.0 meV/atom. For the calculated total energy, the calculation gives -3.48 eV per atom.